Entry 1:
Crystalline V8ZnCo2 at its relaxed geometry, computed with PBE-GGA.

It has space group C2/m (No. 12), with a = 11.072 Å, b = 4.962 Å, c = 5.496 Å, α = 90.00°, β = 104.37° and γ = 90.00°. The inequivalent atoms are V at (0.092, 0.000, 0.415), V at (0.097, 0.233, 0.912), V at (0.205, 0.500, 0.289), Zn at (0.000, 0.500, 0.500) and Co at (0.227, 0.500, 0.734).

Entry 2:
Crystalline V2ZnCo4 at its relaxed geometry, computed with PBE-GGA.

It has space group I4/mmm (No. 139), with a = 4.231 Å, b = 4.231 Å, c = 11.458 Å, α = 90.00°, β = 90.00° and γ = 90.00°. The inequivalent atoms are V at (0.000, 0.000, 0.121), Zn at (0.000, 0.000, 0.500), Co at (0.000, 0.000, 0.295) and Co at (0.000, 0.500, 0.000).

The calculation puts the distance to the lowest polymorph of the same formula at 843 meV per atom.

no.,Fermi-level density of states (states/eV per cell),E_form (meV per atom),total magnetization (μB per formula unit)
1,23.75,169.6,0.0
2,14.49,992.9,0.1